Below is CdSbBr2 after structural relaxation, with properties calculated at the PBE level.

a b c (Å): 5.9507 5.4150 5.3460
angles (deg): 67.14 56.98 55.88
Fractional positions:
Cd1 0.0000 0.0000 0.0000
Sb1 0.5000 0.5000 0.5000
Br1 0.0000 0.5000 0.5000
Br2 0.5000 0.0000 0.0000

Output
formation energy without anion corrections	-0.16	eV per atom

Below is GaAg3H after structural relaxation, with properties calculated at the PBE level.

a b c (Å): 4.9740 4.9740 4.9740
angles (deg): 90.00 90.00 90.00
Fractional positions:
Ga1 0.0000 0.0000 0.0000
Ag1 0.0000 0.0000 0.5000
Ag2 0.0000 0.5000 0.0000
Ag3 0.5000 0.0000 0.0000
H1 0.5000 0.5000 0.5000

Output
electronic total energy	-2.06	eV/atom